Entry 1:
This record from Alexandria via LeMat-Bulk describes a relaxed structure of Dy2TcO8. The functional is PBE.

The structure in POSCAR format:
```
Dy2TcO8
1.0
3.597 -4.139 0.000
3.597 4.139 0.000
-3.075 0.000 4.874
Dy Tc O
2 1 8
direct
0.203 0.797 0.000
0.797 0.203 0.000
0.500 0.500 0.500
0.183 0.183 0.305
0.185 0.359 0.932
0.283 0.717 0.500
0.359 0.185 0.932
0.641 0.815 0.068
0.717 0.283 0.500
0.815 0.641 0.068
0.817 0.817 0.695
```

Summary:
ΔE_f (raw)   -1.568 eV/atom
Space-group type   C2/m, No. 12
Size of the total moment   1.65 Bohr magnetons per cell

Entry 2:
This record from Alexandria via LeMat-Bulk describes a relaxed structure of DyTcO5. The functional is PBE.

The structure in POSCAR format:
```
DyTcO5
1.0
4.493 -3.172 0.000
4.493 3.172 0.000
-3.195 0.000 6.850
Dy Tc O
2 2 10
direct
0.054 0.946 0.750
0.946 0.054 0.250
0.500 0.500 0.000
0.500 0.500 0.500
0.194 0.778 0.039
0.222 0.806 0.461
0.255 0.297 0.384
0.297 0.255 0.884
0.423 0.577 0.750
0.577 0.423 0.250
0.703 0.745 0.116
0.745 0.703 0.616
0.778 0.194 0.539
0.806 0.222 0.961
```

Summary:
ΔE_f (raw)   -2.007 eV/atom
Space-group type   C2/c, No. 15
Size of the total moment   0.00 Bohr magnetons per cell
E above lowest polymorph   0.35 eV per formula unit

Entry 3:
This record from Alexandria via LeMat-Bulk describes a relaxed structure of Dy2Tc2O7. The functional is PBE.

The structure in POSCAR format:
```
Dy2Tc2O7
1.0
0.000 5.158 5.158
5.158 0.000 5.158
5.158 5.158 0.000
Dy Tc O
4 4 14
direct
0.000 0.000 0.000
0.000 0.000 0.500
0.000 0.500 0.000
0.500 0.000 0.000
0.000 0.500 0.500
0.500 0.000 0.500
0.500 0.500 0.000
0.500 0.500 0.500
0.125 0.125 0.125
0.162 0.162 0.588
0.162 0.588 0.162
0.162 0.588 0.588
0.412 0.412 0.838
0.412 0.838 0.412
0.412 0.838 0.838
0.588 0.162 0.162
0.588 0.162 0.588
0.588 0.588 0.162
0.838 0.412 0.412
0.838 0.412 0.838
0.838 0.838 0.412
0.875 0.875 0.875
```

Summary:
ΔE_f (raw)   -2.379 eV/atom
Space-group type   Fd-3m, No. 227
Size of the total moment   12.01 Bohr magnetons per cell
E above lowest polymorph   0.00 eV per formula unit

Entry 4:
This record from Alexandria via LeMat-Bulk describes a relaxed structure of Dy5Tc2O12. The functional is PBE.

The structure in POSCAR format:
```
Dy5Tc2O12
1.0
6.219 -2.833 0.000
6.219 2.833 0.000
-2.320 0.000 7.172
Dy Tc O
5 2 12
direct
0.000 0.000 0.000
0.305 0.305 0.142
0.316 0.316 0.675
0.684 0.684 0.325
0.695 0.695 0.858
0.214 0.786 0.500
0.786 0.214 0.500
0.001 0.001 0.295
0.086 0.585 0.417
0.098 0.594 0.926
0.406 0.902 0.074
0.415 0.914 0.583
0.499 0.499 0.322
0.501 0.501 0.678
0.585 0.086 0.417
0.594 0.098 0.926
0.902 0.406 0.074
0.914 0.415 0.583
0.999 0.999 0.705
```

Summary:
ΔE_f (raw)   -2.896 eV/atom
Space-group type   C2/m, No. 12
Size of the total moment   0.95 Bohr magnetons per cell

Entry 5:
This record from Alexandria via LeMat-Bulk describes a relaxed structure of Dy2Tc2O7. The functional is PBE.

The structure in POSCAR format:
```
Dy2Tc2O7
1.0
3.555 -3.700 0.000
3.555 3.700 0.000
0.000 0.000 5.119
Dy Tc O
2 2 7
direct
0.240 0.240 0.000
0.760 0.760 0.000
0.240 0.760 0.500
0.760 0.240 0.500
0.000 0.000 0.275
0.000 0.000 0.725
0.000 0.500 0.264
0.000 0.500 0.736
0.500 0.000 0.264
0.500 0.000 0.736
0.500 0.500 0.500
```

Summary:
ΔE_f (raw)   -2.045 eV/atom
Space-group type   Cmmm, No. 65
Size of the total moment   0.00 Bohr magnetons per cell
E above lowest polymorph   3.67 eV per formula unit

Entry 6:
This record from Alexandria via LeMat-Bulk describes a relaxed structure of DyTc2O8. The functional is PBE.

The structure in POSCAR format:
```
DyTc2O8
1.0
0.000 4.760 4.760
4.760 0.000 4.760
4.760 4.760 0.000
Dy Tc O
1 2 8
direct
0.000 0.000 0.000
0.250 0.250 0.250
0.750 0.750 0.750
0.144 0.144 0.144
0.144 0.144 0.569
0.144 0.569 0.144
0.431 0.856 0.856
0.569 0.144 0.144
0.856 0.431 0.856
0.856 0.856 0.431
0.856 0.856 0.856
```

Summary:
ΔE_f (raw)   -1.884 eV/atom
Space-group type   Fm-3m, No. 225
Size of the total moment   0.00 Bohr magnetons per cell
E above lowest polymorph   0.00 eV per formula unit